No. 1
Entry from the Alexandria database: a geometry-optimized GeSeO3 structure (PBE).

Cell lengths 3.939, 3.939, 3.939 Å; angles 90.00, 90.00, 90.00 degrees
Fractional positions:
1 Ge 0.000 0.000 0.000
2 Se 0.500 0.500 0.500
3 O 0.000 0.500 0.500
4 O 0.500 0.000 0.500
5 O 0.500 0.500 0.000

* calculated volume: 61 Å³/cell
* symmetry: Pm-3m, No. 221
* raw total energy: -4.91 eV/atom


No. 2
Entry from the Alexandria database: a geometry-optimized GeSeO2 structure (PBE).

Cell lengths 5.865, 5.865, 5.865 Å; angles 90.00, 90.00, 90.00 degrees
Fractional positions:
1 Ge 0.000 0.000 0.000
2 Ge 0.000 0.500 0.500
3 Ge 0.500 0.000 0.500
4 Ge 0.500 0.500 0.000
5 Se 0.000 0.000 0.500
6 Se 0.000 0.500 0.000
7 Se 0.500 0.000 0.000
8 Se 0.500 0.500 0.500
9 O 0.250 0.250 0.250
10 O 0.250 0.250 0.750
11 O 0.250 0.750 0.250
12 O 0.250 0.750 0.750
13 O 0.750 0.250 0.250
14 O 0.750 0.250 0.750
15 O 0.750 0.750 0.250
16 O 0.750 0.750 0.750

* calculated volume: 202 Å³/cell
* offset from the most stable computed form: 896 meV per atom
* symmetry: Fm-3m, No. 225